Entry 1:
# Na2ZrSe3 PBE relaxed
data_Na2ZrSe3
_chemical_formula_sum 'Na8 Zr4 Se12'
_space_group_name_H-M_alt 'P 1'
_space_group_IT_number 1
_cell_length_a 13.844
_cell_length_b 3.944
_cell_length_c 11.716
_cell_angle_alpha 90.00
_cell_angle_beta 90.00
_cell_angle_gamma 90.00
loop_
_space_group_symop_operation_xyz
'x,y,z'
loop_
_atom_site_label
_atom_site_type_symbol
_atom_site_fract_x
_atom_site_fract_y
_atom_site_fract_z
Se1 Se 0.892 0.250 0.446
Se2 Se 0.124 0.250 0.286
Se3 Se 0.608 0.750 0.946
Se4 Se 0.876 0.750 0.714
Se5 Se 0.108 0.750 0.554
Se6 Se 0.376 0.750 0.786
Se7 Se 0.599 0.250 0.648
Se8 Se 0.099 0.250 0.852
Se9 Se 0.901 0.750 0.148
Se10 Se 0.624 0.250 0.214
Se11 Se 0.401 0.750 0.352
Se12 Se 0.392 0.250 0.054
Na1 Na 0.962 0.750 0.916
Na2 Na 0.462 0.750 0.584
Na3 Na 0.038 0.250 0.084
Na4 Na 0.760 0.250 0.043
Na5 Na 0.740 0.750 0.543
Na6 Na 0.538 0.250 0.416
Na7 Na 0.240 0.750 0.957
Na8 Na 0.260 0.250 0.457
Zr1 Zr 0.001 0.250 0.659
Zr2 Zr 0.501 0.250 0.841
Zr3 Zr 0.499 0.750 0.159
Zr4 Zr 0.999 0.750 0.341
# calculated total energy: -4.750 eV per atom
# space group: No. 62

***

Entry 2:
# Al2CdSe2S2 PBE relaxed
data_Al2CdSe2S2
_chemical_formula_sum 'Al2 Cd1 Se2 S2'
_space_group_name_H-M_alt 'P 1'
_space_group_IT_number 1
_cell_length_a 6.607
_cell_length_b 6.607
_cell_length_c 5.697
_cell_angle_alpha 114.79
_cell_angle_beta 114.79
_cell_angle_gamma 105.46
loop_
_space_group_symop_operation_xyz
'x,y,z'
loop_
_atom_site_label
_atom_site_type_symbol
_atom_site_fract_x
_atom_site_fract_y
_atom_site_fract_z
Al1 Al 0.755 0.245 0.500
Al2 Al 0.994 0.006 0.000
Se1 Se 0.360 0.085 0.461
Se2 Se 0.915 0.640 0.539
S1 S 0.647 0.918 0.021
S2 S 0.082 0.353 0.979
Cd1 Cd 0.497 0.503 0.000
# calculated total energy: -4.266 eV per atom
# space group: No. 5

***

Entry 3:
# TbEr2TlCd3Ga2 PBE relaxed
data_TbEr2TlCd3Ga2
_chemical_formula_sum 'Tb1 Er2 Tl1 Cd3 Ga2'
_space_group_name_H-M_alt 'P 1'
_space_group_IT_number 1
_cell_length_a 4.507
_cell_length_b 7.322
_cell_length_c 7.322
_cell_angle_alpha 120.16
_cell_angle_beta 90.00
_cell_angle_gamma 90.00
loop_
_space_group_symop_operation_xyz
'x,y,z'
loop_
_atom_site_label
_atom_site_type_symbol
_atom_site_fract_x
_atom_site_fract_y
_atom_site_fract_z
Ga1 Ga 0.500 0.668 0.333
Ga2 Ga 0.500 0.333 0.668
Cd1 Cd 0.500 0.000 0.261
Cd2 Cd 0.500 0.261 0.000
Cd3 Cd 0.500 0.739 0.739
Er1 Er 0.000 0.566 0.001
Er2 Er 0.000 0.001 0.566
Tl1 Tl 0.000 0.998 0.998
Tb1 Tb 0.000 0.434 0.434
# calculated total energy: -3.198 eV per atom
# space group: No. 38